Entry from the Alexandria database: a geometry-optimized Sm5Ga2 structure (PBE).

Summary:
**Formation energy**: -0.31 eV per atom
**Calculated density**: 7.1 g/cm³
**Symmetry**: C2/c

Cell: 6.289 8.324 8.582 Å, 97.32 111.50 90.00°
Fractional positions:
1 Sm 0.958 0.923 0.189
2 Sm 0.042 0.077 0.811
3 Sm 0.370 0.750 0.000
4 Ga 0.410 0.083 0.205
5 Ga 0.590 0.917 0.795
6 Sm 0.634 0.819 0.442
7 Sm 0.808 0.319 0.442
8 Sm 0.630 0.250 0.000
9 Sm 0.769 0.577 0.811
10 Sm 0.366 0.181 0.558
11 Sm 0.192 0.681 0.558
12 Ga 0.205 0.417 0.795
13 Ga 0.795 0.583 0.205
14 Sm 0.231 0.423 0.189